## Th2BiPb (PBE)

Data for a geometry-optimized Th2BiPb structure.

Summary:
Crystal system = trigonal
E above lowest polymorph = 2.81 kcal/mol of atoms
ΔH_f (0 K) = -304 meV per atom

```
data_Th2BiPb
_chemical_formula_sum 'Th6 Bi3 Pb3'
_cell_length_a 4.4907
_cell_length_b 4.4907
_cell_length_c 23.9309
_cell_angle_alpha 90.00
_cell_angle_beta 90.00
_cell_angle_gamma 120.00
_symmetry_space_group_name_H-M 'R 3 m'
_symmetry_Int_Tables_number 160
_symmetry_space_group_name_Hall 'R 3 -2"'
loop_
_atom_site_label
_atom_site_type_symbol
_atom_site_fract_x
_atom_site_fract_y
_atom_site_fract_z
Th1 Th 0.0000 0.0000 0.0000
Th2 Th 0.0000 0.0000 0.1672
Bi1 Bi 0.0000 0.0000 0.5855
Pb1 Pb 0.0000 0.0000 0.4162
```